The following is a DFT calculation (PBE with a Hubbard U) of a relaxed PmMnHgO4 crystal.

CIF file:
```
data_PmMnHgO4
_chemical_formula_sum 'Pm4 Mn4 Hg4 O16'
_cell_length_a 6.5160
_cell_length_b 7.0691
_cell_length_c 9.0934
_cell_angle_alpha 90.00
_cell_angle_beta 90.00
_cell_angle_gamma 90.00
_space_group_name_H-M_alt 'I m m a'
_space_group_IT_number 74
_space_group_name_Hall '-I 2b 2'
loop_
_atom_site_label
_atom_site_type_symbol
_atom_site_fract_x
_atom_site_fract_y
_atom_site_fract_z
Pm1 Pm 0.0000 0.0000 0.0000
Mn1 Mn 0.2500 0.2500 0.2500
Hg1 Hg 0.0000 0.2500 0.6352
O1 O 0.0000 0.0458 0.2548
O2 O 0.2297 0.2500 0.0353
```

Uncorrected energy (eV per atom): -6.37